The following is a meta-GGA SCAN calculation of a PBEsol-optimized structure of LaTeO2, from the Alexandria database.

It has space group R-3m (No. 166, hexagonal axes), with a = 4.4011 Å, b = 4.4011 Å, c = 11.7549 Å, α = 90.00°, β = 90.00° and γ = 120.00°. The inequivalent atoms are La at (0.0000, 0.0000, 0.0000), Te at (0.0000, 0.0000, 0.5000) and O at (0.0000, 0.0000, 0.2088).

The energy above the most stable polymorph in this dataset comes out at 0.138 eV/atom. The value obtained for the spin magnetization is 0.000 μB/f.u. As for the volume: 16.4 A^3/atom. Its formation energy (no corrections) is -595 kJ/mol of formula units. The density of states at the Fermi level comes out at 0.610 states/eV per atom.

---

The following is a meta-GGA SCAN calculation of a PBEsol-optimized structure of P2BrCl, from the Alexandria database.

It has space group Cmmm (No. 65), with a = 6.0198 Å, b = 7.7349 Å, c = 3.0682 Å, α = 90.00°, β = 90.00° and γ = 90.00°. The inequivalent atoms are P at (0.2500, 0.2500, 0.0000), Br at (0.0000, 0.0000, 0.5000) and Cl at (0.0000, 0.5000, 0.5000).

The energy above the most stable polymorph in this dataset comes out at 0.013 eV/atom. The value obtained for the spin magnetization is 0.000 μB/f.u. As for the volume: 17.9 A^3/atom. Its formation energy (no corrections) is 447 kJ/mol of formula units. The density of states at the Fermi level comes out at 0.627 states/eV per atom.

---

The following is a meta-GGA SCAN calculation of a PBEsol-optimized structure of KMo2Br, from the Alexandria database.

It has space group Pmmm (No. 47), with a = 2.6465 Å, b = 5.3989 Å, c = 7.2007 Å, α = 90.00°, β = 90.00° and γ = 90.00°. The inequivalent atoms are K at (0.0000, 0.0000, 0.0000), Mo at (0.5000, 0.2860, 0.5000) and Br at (0.0000, 0.5000, 0.0000).

The energy above the most stable polymorph in this dataset comes out at 0.972 eV/atom. The value obtained for the spin magnetization is 0.000 μB/f.u. As for the volume: 25.7 A^3/atom. Its formation energy (no corrections) is 500 kJ/mol of formula units. The density of states at the Fermi level comes out at 0.764 states/eV per atom.